K2PH3SeO8 | SCAN | single point on PBEsol structure

Summary:
D(E_F) = 0.0 states/eV/f.u.
Final energy = -8.80 eV/atom

a = 7.1859 Å, b = 7.4982 Å, c = 9.5183 Å
α = 90.00°, β = 128.55°, γ = 90.00°
Atoms (fractional coordinates):
K  0.0000  0.0443  0.0000
K  0.0000  0.9557  0.5000
K  0.7947  0.4455  0.5896
K  0.7947  0.5545  0.0896
P  0.5535  0.0372  0.0420
P  0.5535  0.9628  0.5420
H  0.2900  0.1884  0.4006
H  0.2900  0.8116  0.9006
H  0.4257  0.2380  0.8218
H  0.4257  0.7620  0.3218
H  0.5290  0.2563  0.1920
H  0.5290  0.7437  0.6920
Se  0.2577  0.4577  0.5540
Se  0.2577  0.5423  0.0540
O  0.0396  0.3977  0.9657
O  0.0396  0.6023  0.4657
O  0.2167  0.2883  0.6471
O  0.2167  0.7117  0.1471
O  0.2579  0.3735  0.3904
O  0.2579  0.6265  0.8904
O  0.3015  0.0458  0.3949
O  0.3015  0.9542  0.8949
O  0.5241  0.4495  0.2084
O  0.5241  0.5505  0.7084
O  0.5492  0.1173  0.1935
O  0.5492  0.8827  0.6935
O  0.5796  0.2000  0.9516
O  0.5796  0.8000  0.4516
O  0.7540  0.0931  0.6237
O  0.7540  0.9069  0.1237



AsP5 | SCAN | single point on PBEsol structure

Summary:
D(E_F) = 0.1 states/eV/f.u.
Distance to the lowest polymorph of the same formula = 0.00 eV/f.u.
Final energy = -11.96 eV/atom
Formation energy from the elements = 0.0694 eV/atom

a = 5.4551 Å, b = 5.4551 Å, c = 7.6262 Å
α = 120.74°, β = 120.74°, γ = 36.16°
Atoms (fractional coordinates):
As  0.0000  0.0000  0.0000
P  0.0693  0.0693  0.4955
P  0.2703  0.2703  0.1381
P  0.4297  0.4297  0.7497
P  0.6323  0.6323  0.7221
P  0.8156  0.8156  0.3617



MnAgW | SCAN | single point on PBEsol structure

Summary:
D(E_F) = 2.2 states/eV/f.u.
Distance to the lowest polymorph of the same formula = 0.00 eV/f.u.
Final energy = -39.43 eV/atom
Formation energy from the elements = 0.3391 eV/atom

a = 6.8774 Å, b = 6.7166 Å, c = 2.6710 Å
α = 82.07°, β = 75.30°, γ = 22.62°
Atoms (fractional coordinates):
Mn  0.0000  0.0000  0.0000
Ag  0.6684  0.6684  0.3316
W  0.3515  0.3515  0.6485